A plane-wave DFT calculation with PBE-GGA was carried out for an optimized crystal structure of La2Sn3SbRh4.

## Properties
Space group: No. 115
Uncorrected formation energy (meV/atom): -779

Cell and atoms, written as extended XYZ:
```
10
Lattice="-1.151 -3.862 -2.104 3.866 -1.926 1.419 -4.951 -3.376 8.906" Properties=species:S:1:pos:R:3 pbc="T T T"
La -1.820 -2.779 1.186
La -1.774 -3.490 7.377
Sn -4.889 -4.872 6.707
Sn -2.475 -1.688 4.453
Sn 1.295 -1.398 1.857
Sb -1.118 -4.581 4.111
Rh 1.357 -2.894 -0.342
Rh -3.682 -4.049 4.536
Rh 0.088 -2.220 4.028
Rh 0.000 0.000 0.000
```